Crystalline KTa2Ni at its relaxed geometry, computed with PBE-GGA.

Values from the calculation:
The value obtained for the energy of formation from the pure elements is 1.370 eV per atom. Its total magnetization is 0.00 μB/atom. Its symmetry is No. 139. The total energy comes out at -6.28 eV/atom.

a = 5.8208 Å, b = 5.8208 Å, c = 5.8208 Å
α = 140.61°, β = 140.61°, γ = 56.93°
Last column: nearest neighbours and their distance in Å.
Fractional positions:
K: 0.0000 0.0000 0.0000  4 Ni 2.77
Ta: 0.2500 0.7500 0.5000  4 Ta 2.77
Ta: 0.7500 0.2500 0.5000  4 Ta 2.77
Ni: 0.5000 0.5000 0.0000  4 K 2.77

***

Crystalline CaZrTi2Pb at its relaxed geometry, computed with PBE-GGA.

Values from the calculation:
The value obtained for the energy of formation from the pure elements is 0.625 eV per atom. Its total magnetization is 0.00 μB/atom. Its symmetry is No. 123. The total energy comes out at -5.38 eV/atom.

a = 4.9194 Å, b = 4.9194 Å, c = 5.6745 Å
α = 90.00°, β = 90.00°, γ = 90.00°
Last column: nearest neighbours and their distance in Å.
Fractional positions:
Ca: 0.0000 0.0000 0.0000  4 Pb 3.48, 8 Ti 3.76
Zr: 0.5000 0.5000 0.5000  4 Ti 2.46
Ti: 0.0000 0.5000 0.5000  2 Zr 2.46
Ti: 0.5000 0.0000 0.5000  2 Zr 2.46
Pb: 0.5000 0.5000 0.0000  2 Zr 2.84

***

Crystalline Zr4AlCu2 at its relaxed geometry, computed with PBE-GGA.

Values from the calculation:
The value obtained for the energy of formation from the pure elements is -0.169 eV per atom. Its total magnetization is 0.00 μB/atom. Its symmetry is No. 11. The total energy comes out at -6.76 eV/atom.

a = 6.7059 Å, b = 4.5054 Å, c = 8.9840 Å
α = 90.00°, β = 101.65°, γ = 90.00°
Last column: nearest neighbours and their distance in Å.
Fractional positions:
Zr: 0.0062 0.2500 0.2805  4 Cu 2.71-3.00, 2 Al 2.99
Zr: 0.1466 0.2500 0.9590  3 Cu 3.00-3.08, 8 Zr 3.06-3.28, 1 Al 3.17
Zr: 0.3476 0.7500 0.1679  4 Cu 2.69-2.91
Zr: 0.4805 0.2500 0.3907  2 Cu 2.64-2.70, 1 Al 2.93
Zr: 0.5195 0.7500 0.6093  2 Cu 2.64-2.70, 1 Al 2.93
Zr: 0.6524 0.2500 0.8321  4 Cu 2.69-2.91
Zr: 0.8534 0.7500 0.0410  3 Cu 3.00-3.08, 8 Zr 3.06-3.28, 1 Al 3.17
Zr: 0.9938 0.7500 0.7195  4 Cu 2.71-3.00, 2 Al 2.99
Al: 0.2349 0.2500 0.6259  3 Cu 2.56-2.84
Al: 0.7651 0.7500 0.3741  3 Cu 2.56-2.84
Cu: 0.1552 0.7500 0.4313  3 Al 2.56-2.84, 3 Zr 2.64-2.71
Cu: 0.4025 0.7500 0.8794  7 Zr 2.69-3.00
Cu: 0.5975 0.2500 0.1206  7 Zr 2.69-3.00
Cu: 0.8448 0.2500 0.5687  3 Al 2.56-2.84, 3 Zr 2.64-2.71

***

Crystalline YCd3In at its relaxed geometry, computed with PBE-GGA.

Values from the calculation:
The value obtained for the energy of formation from the pure elements is 0.371 eV per atom. Its total magnetization is 0.00 μB/atom. Its symmetry is No. 221. The total energy comes out at -2.02 eV/atom.

a = 5.3376 Å, b = 5.3376 Å, c = 5.3376 Å
α = 90.00°, β = 90.00°, γ = 90.00°
Last column: nearest neighbours and their distance in Å.
Fractional positions:
Y: 0.0000 0.0000 0.0000  12 Cd 3.77
Cd: 0.0000 0.5000 0.5000  2 In 2.67
Cd: 0.5000 0.0000 0.5000  2 In 2.67
Cd: 0.5000 0.5000 0.0000  2 In 2.67
In: 0.5000 0.5000 0.5000  6 Cd 2.67

***

Crystalline YTl2P at its relaxed geometry, computed with PBE-GGA.

Values from the calculation:
The value obtained for the energy of formation from the pure elements is -0.166 eV per atom. Its total magnetization is 0.00 μB/atom. Its symmetry is No. 122. The total energy comes out at -4.32 eV/atom.

a = 6.6557 Å, b = 6.6557 Å, c = 6.6557 Å
α = 101.26°, β = 101.26°, γ = 127.55°
Last column: nearest neighbours and their distance in Å.
Fractional positions:
Y: 0.0000 0.0000 0.0000  2 P 2.94
Y: 0.7500 0.2500 0.5000  2 P 2.94
Tl: 0.1649 0.6250 0.0399  2 P 2.85, 2 Tl 3.02
Tl: 0.3750 0.4149 0.5399  2 P 2.85, 2 Tl 3.02
Tl: 0.5851 0.1250 0.9601  2 P 2.85, 2 Tl 3.02
Tl: 0.8750 0.8351 0.4601  2 P 2.85, 2 Tl 3.02
P: 0.2500 0.7500 0.5000  4 Tl 2.85, 2 Y 2.94
P: 0.5000 0.5000 0.0000  4 Tl 2.85, 2 Y 2.94

***

Crystalline ErRe2 at its relaxed geometry, computed with PBE-GGA.

Values from the calculation:
The value obtained for the energy of formation from the pure elements is -0.222 eV per atom. Its total magnetization is 0.00 μB/atom. Its symmetry is No. 227. The total energy comes out at -10.04 eV/atom.

a = 5.3971 Å, b = 5.3971 Å, c = 5.3971 Å
α = 60.00°, β = 60.00°, γ = 60.00°
Last column: nearest neighbours and their distance in Å.
Fractional positions:
Er: 0.1250 0.1250 0.1250  12 Re 3.16, 4 Er 3.31
Er: 0.8750 0.8750 0.8750  12 Re 3.16, 4 Er 3.31
Re: 0.0000 0.5000 0.5000  6 Re 2.70
Re: 0.5000 0.0000 0.5000  6 Re 2.70
Re: 0.5000 0.5000 0.0000  6 Re 2.70
Re: 0.5000 0.5000 0.5000  6 Re 2.70

***

Crystalline Cs2Na2Cd at its relaxed geometry, computed with PBE-GGA.

Values from the calculation:
The value obtained for the energy of formation from the pure elements is 0.155 eV per atom. Its total magnetization is 0.00 μB/atom. Its symmetry is No. 127. The total energy comes out at -0.90 eV/atom.

a = 11.4120 Å, b = 11.4120 Å, c = 5.1523 Å
α = 90.00°, β = 90.00°, γ = 90.00°
Last column: nearest neighbours and their distance in Å.
Fractional positions:
Cs: 0.1817 0.3183 0.0000  2 Cd 4.18, 6 Na 4.19-4.31
Cs: 0.3183 0.8183 0.0000  2 Cd 4.18, 6 Na 4.19-4.31
Cs: 0.6817 0.1817 0.0000  2 Cd 4.18, 6 Na 4.19-4.31
Cs: 0.8183 0.6817 0.0000  2 Cd 4.18, 6 Na 4.19-4.31
Na: 0.1137 0.6137 0.5000  1 Na 3.67
Na: 0.3863 0.1137 0.5000  1 Na 3.67
Na: 0.6137 0.8863 0.5000  1 Na 3.67
Na: 0.8863 0.3863 0.5000  1 Na 3.67
Cd: 0.0000 0.0000 0.0000  4 Cs 4.18
Cd: 0.5000 0.5000 0.0000  4 Cs 4.18

***

Crystalline NpAl2Si at its relaxed geometry, computed with PBE-GGA.

Values from the calculation:
For the raw formation energy, the calculation gives -179 meV/atom. Its total magnetization is 0.94 μB/atom. Its symmetry is No. 123. The total energy comes out at -6.64 eV/atom.

a = 4.0931 Å, b = 4.0931 Å, c = 4.3410 Å
α = 90.00°, β = 90.00°, γ = 90.00°
Last column: nearest neighbours and their distance in Å.
Fractional positions:
Np: 0.0000 0.0000 0.0000  4 Si 2.89, 8 Al 2.98
Al: 0.0000 0.5000 0.5000  4 Al 2.89, 4 Np 2.98, 4 Si 2.98
Al: 0.5000 0.0000 0.5000  4 Al 2.89, 4 Np 2.98, 4 Si 2.98
Si: 0.5000 0.5000 0.0000  4 Np 2.89, 8 Al 2.98

***

Number 1: Fermi-level density of states 1.012 states/eV/atom. Number 2: Fermi-level density of states 1.169 states/eV/atom. Number 3: Fermi-level density of states 0.911 states/eV/atom. Number 4: Fermi-level density of states 0.837 states/eV/atom. Number 5: Fermi-level density of states 0.590 states/eV/atom. Number 6: Fermi-level density of states 1.270 states/eV/atom. Number 7: Fermi-level density of states 0.593 states/eV/atom. Number 8: Fermi-level density of states 1.764 states/eV/atom.